Density functional theory data (PBE) for LiSc2Tc after structural relaxation.

Properties
- excess energy over the best structure of this formula in the dataset (kJ per mole of atoms) = 16.8
- DFT total energy (eV/atom) = -6.200
- ΔE_f (meV per atom) = 36

abc: 3.1978 3.1978 28.0824
angles: 90.00 90.00 120.00
Space group R-3m (No. 166, hexagonal axes)
One atom of each set of equivalent atoms:
Li: 0.0000 0.0000 0.0000 [3 per cell]
Sc: 0.0000 0.0000 0.2362 [6 per cell]
Tc: 0.0000 0.0000 0.5000 [3 per cell]

Density functional theory data (PBE) for Li2ScTc after structural relaxation.

Properties
- excess energy over the best structure of this formula in the dataset (kJ per mole of atoms) = 5.4
- DFT total energy (eV/atom) = -4.932
- ΔE_f (meV per atom) = 199

abc: 5.157 10.184 2.819
angles: 90.00 114.10 90.00
Space group C2/m (No. 12)
One atom of each set of equivalent atoms:
Li: 0.250 0.250 0.000 [4 per cell]
Sc: 0.000 0.000 0.500 [2 per cell]
Tc: 0.000 0.500 0.500 [2 per cell]

Density functional theory data (PBE) for Li2ScTc after structural relaxation.

Properties
- excess energy over the best structure of this formula in the dataset (kJ per mole of atoms) = 17.3
- DFT total energy (eV/atom) = -4.809
- ΔE_f (meV per atom) = 322

abc: 5.185 9.404 2.720
angles: 90.00 90.00 90.00
Space group Cmmm (No. 65)
One atom of each set of equivalent atoms:
Li: 0.250 0.250 0.000 [4 per cell]
Sc: 0.000 0.000 0.500 [2 per cell]
Tc: 0.000 0.500 0.500 [2 per cell]

Density functional theory data (PBE) for Li2ScTc after structural relaxation.

Properties
- excess energy over the best structure of this formula in the dataset (kJ per mole of atoms) = 21.7
- DFT total energy (eV/atom) = -4.763
- ΔE_f (meV per atom) = 368

abc: 3.701 3.701 20.783
angles: 90.00 90.00 90.00
Space group I-42d (No. 122)
One atom of each set of equivalent atoms:
Li: 0.222 0.750 0.125 [8 per cell]
Sc: 0.000 0.000 0.500 [4 per cell]
Tc: 0.000 0.000 0.000 [4 per cell]